The following is a PBE-GGA calculation of Tl2InSb2 after structural relaxation, from Alexandria.

Results
- formation energy without anion corrections (meV/atom) = 136

Unit cell a=7.8142 b=7.8142 c=7.8142 alpha=143.18 beta=143.18 gamma=53.05
Last column: nearest neighbours and their distance in Å.
Positions (direct):
1 Tl 0.2500 0.7500 0.5000  4 Sb 3.21, 4 Tl 3.49
2 Tl 0.7500 0.2500 0.5000  4 Sb 3.21, 4 Tl 3.49
3 In 0.0000 0.0000 0.0000  8 Sb 3.78
4 Sb 0.3970 0.3970 0.0000  1 Sb 2.88, 4 Tl 3.21
5 Sb 0.6030 0.6030 0.0000  1 Sb 2.88, 4 Tl 3.21

---

The following is a PBE-GGA calculation of Ce6AlIn after structural relaxation, from Alexandria.

Results
- calculated formation energy (kJ/mol of formula units) = -135

Unit cell a=4.7404 b=4.7404 c=9.4808 alpha=90.00 beta=90.00 gamma=90.00
Last column: nearest neighbours and their distance in Å.
Positions (direct):
1 Ce 0.0000 0.0000 0.0000  8 Ce 3.30, 4 Al 3.35
2 Ce 0.0000 0.0000 0.5000  4 In 3.35, 8 Ce 3.41
3 Ce 0.0000 0.5000 0.2417  8 Ce 3.30-3.41, 2 Al 3.30, 2 In 3.41
4 Ce 0.0000 0.5000 0.7583  8 Ce 3.30-3.41, 2 Al 3.30, 2 In 3.41
5 Ce 0.5000 0.0000 0.2417  8 Ce 3.30-3.41, 2 Al 3.30, 2 In 3.41
6 Ce 0.5000 0.0000 0.7583  8 Ce 3.30-3.41, 2 Al 3.30, 2 In 3.41
7 Al 0.5000 0.5000 0.0000  12 Ce 3.30-3.35
8 In 0.5000 0.5000 0.5000  12 Ce 3.35-3.41

---

The following is a PBE-GGA calculation of SrTe4Cl after structural relaxation, from Alexandria.

Results
- formation energy without anion corrections (meV/atom) = -492

Unit cell a=6.4215 b=6.4215 c=6.4215 alpha=60.00 beta=60.00 gamma=60.00
Last column: nearest neighbours and their distance in Å.
Positions (direct):
1 Sr 0.0000 0.0000 0.0000  12 Te 3.77, 4 Cl 3.93
2 Te 0.1260 0.6247 0.6247  6 Te 3.20-3.22
3 Te 0.6247 0.1260 0.6247  6 Te 3.20-3.22
4 Te 0.6247 0.6247 0.1260  6 Te 3.20-3.22
5 Te 0.6247 0.6247 0.6247  6 Te 3.20-3.22
6 Cl 0.2500 0.2500 0.2500  12 Te 3.76, 4 Sr 3.93

---

The following is a PBE-GGA calculation of TbDyRe after structural relaxation, from Alexandria.

Results
- calculated formation energy (kJ/mol of formula units) = 30

Unit cell a=8.6367 b=8.6367 c=3.5042 alpha=90.00 beta=90.00 gamma=145.20
Last column: nearest neighbours and their distance in Å.
Positions (direct):
1 Tb 0.2122 0.7878 0.7500  2 Re 3.17, 2 Dy 3.32, 6 Tb 3.36-3.50
2 Tb 0.7878 0.2122 0.2500  2 Re 3.17, 2 Dy 3.32, 6 Tb 3.36-3.50
3 Dy 0.4140 0.5860 0.2500  6 Re 3.17-3.44, 2 Tb 3.32, 4 Dy 3.33-3.50
4 Dy 0.5860 0.4140 0.7500  6 Re 3.17-3.44, 2 Tb 3.32, 4 Dy 3.33-3.50
5 Re 0.0519 0.9481 0.2500  2 Re 2.45
6 Re 0.9481 0.0519 0.7500  2 Re 2.45

---

N(E_F) for every record listed, in sequence, given in states/eV/f.u.: 4.76; 24.20; 9.26; 2.71.
Electronic total energy for every record listed, in sequence, given in eV per cell: -15.04; -43.48; -19.05; -42.74.